Entry 1:
A relaxed Si23Mo crystal, computed with PBE.

```
Si23Mo
1.0
10.2058 0.0000 0.0000
0.0000 10.2058 0.0000
0.0000 0.0000 10.2058
Si Mo
46 2
Cartesian
0.0000 1.1880 3.1420
0.0000 1.1880 7.0639
0.0000 2.5515 5.1029
0.0000 7.6544 5.1029
0.0000 9.0178 3.1420
0.0000 9.0178 7.0639
1.1880 3.1420 0.0000
1.1880 7.0639 0.0000
1.8595 1.8595 1.8595
1.8595 1.8595 8.3464
1.8595 8.3464 1.8595
1.8595 8.3464 8.3464
1.9609 3.9149 5.1029
1.9609 6.2909 5.1029
2.5515 5.1029 0.0000
3.1420 0.0000 1.1880
3.1420 0.0000 9.0178
3.2434 3.2434 3.2434
3.2434 3.2434 6.9624
3.2434 6.9624 3.2434
3.2434 6.9624 6.9624
3.9149 5.1029 1.9609
3.9149 5.1029 8.2449
5.1029 0.0000 2.5515
5.1029 0.0000 7.6544
5.1029 1.9609 3.9149
5.1029 1.9609 6.2909
5.1029 8.2449 3.9149
5.1029 8.2449 6.2909
6.2909 5.1029 1.9609
6.2909 5.1029 8.2449
6.9624 3.2434 3.2434
6.9624 3.2434 6.9624
6.9624 6.9624 3.2434
6.9624 6.9624 6.9624
7.0639 0.0000 1.1880
7.0639 0.0000 9.0178
7.6544 5.1029 0.0000
8.2449 3.9149 5.1029
8.2449 6.2909 5.1029
8.3464 1.8595 1.8595
8.3464 1.8595 8.3464
8.3464 8.3464 1.8595
8.3464 8.3464 8.3464
9.0178 3.1420 0.0000
9.0178 7.0639 0.0000
0.0000 0.0000 0.0000
5.1029 5.1029 5.1029
```

Output
Its size of the total moment is 5.0 μB/f.u. As for the uncorrected formation energy: 0.221 eV/atom. As for the symmetry: Pm-3n (223). The total energy comes out at -5.4278 eV/atom.

***

Entry 2:
A relaxed YPSe2 crystal, computed with PBE.

```
YPSe2
1.0
3.7897 0.0000 0.0000
0.0000 3.7897 0.0000
0.0000 0.0000 5.9873
Y P Se
1 1 2
Cartesian
0.0000 0.0000 0.0000
0.0000 0.0000 2.9937
1.8949 1.8949 1.3808
1.8949 1.8949 4.6066
```

Output
Its size of the total moment is 0.0 μB/f.u. As for the uncorrected formation energy: -0.474 eV/atom. As for the symmetry: P4/mmm (123). The total energy comes out at -5.1846 eV/atom.